Zr4PtC | PBE-GGA | optimized geometry

Properties
V: 235.0 Å³/cell
Magnetic moment: 0.00 μB per cell
N(E_F): 11.4 states/eV per cell
Formation energy: -461.0 meV per atom

Cell: 6.0622 6.1110 6.4291 Å, 90.00 99.37 90.00°
Sites, in units of the cell vectors:
Zr (0.1067, 0.1655, 0.1944)
Zr (0.1067, 0.3345, 0.6944)
Zr (0.3330, 0.6359, 0.1102)
Zr (0.3330, 0.8641, 0.6102)
Zr (0.6670, 0.1359, 0.3898)
Zr (0.6670, 0.3641, 0.8898)
Zr (0.8933, 0.6655, 0.3056)
Zr (0.8933, 0.8345, 0.8056)
Pt (0.5000, 0.0000, 0.0000)
Pt (0.5000, 0.5000, 0.5000)
C (0.0000, 0.0000, 0.5000)
C (0.0000, 0.5000, 0.0000)

Zr2PtC | PBE-GGA | optimized geometry

Properties
V: 296.2 Å³/cell
Magnetic moment: 0.00 μB per cell
N(E_F): 4.6 states/eV per cell
Formation energy: -407.3 meV per atom

Cell: 6.3754 6.3754 7.2863 Å, 90.00 90.00 90.00°
Sites, in units of the cell vectors:
Zr (0.1874, 0.7500, 0.1250)
Zr (0.2500, 0.1874, 0.8750)
Zr (0.2500, 0.3126, 0.3750)
Zr (0.3126, 0.7500, 0.6250)
Zr (0.6874, 0.2500, 0.6250)
Zr (0.7500, 0.6874, 0.3750)
Zr (0.7500, 0.8126, 0.8750)
Zr (0.8126, 0.2500, 0.1250)
Pt (0.0000, 0.0000, 0.5000)
Pt (0.0000, 0.5000, 0.7500)
Pt (0.5000, 0.0000, 0.2500)
Pt (0.5000, 0.5000, 0.0000)
C (0.0000, 0.0000, 0.0000)
C (0.0000, 0.5000, 0.2500)
C (0.5000, 0.0000, 0.7500)
C (0.5000, 0.5000, 0.5000)

Zr6PtC4 | PBE-GGA | optimized geometry

Properties
V: 338.4 Å³/cell
Magnetic moment: 0.00 μB per cell
N(E_F): 6.7 states/eV per cell
Formation energy: -845.0 meV per atom

Cell: 5.8758 5.8758 17.7847 Å, 90.00 90.00 146.55°
Sites, in units of the cell vectors:
Zr (0.0000, 0.0000, 0.0000)
Zr (0.0000, 0.0000, 0.5000)
Zr (0.1536, 0.8464, 0.7500)
Zr (0.2755, 0.7245, 0.0778)
Zr (0.2755, 0.7245, 0.4222)
Zr (0.4593, 0.5407, 0.6503)
Zr (0.4593, 0.5407, 0.8497)
Zr (0.5407, 0.4593, 0.1503)
Zr (0.5407, 0.4593, 0.3497)
Zr (0.7245, 0.2755, 0.5778)
Zr (0.7245, 0.2755, 0.9222)
Zr (0.8464, 0.1536, 0.2500)
Pt (0.1639, 0.8361, 0.2500)
Pt (0.8361, 0.1639, 0.7500)
C (0.0901, 0.9099, 0.6219)
C (0.0901, 0.9099, 0.8781)
C (0.3609, 0.6391, 0.5395)
C (0.3609, 0.6391, 0.9605)
C (0.6391, 0.3609, 0.0395)
C (0.6391, 0.3609, 0.4605)
C (0.9099, 0.0901, 0.1219)
C (0.9099, 0.0901, 0.3781)

Zr2PtC | PBE-GGA | optimized geometry

Properties
V: 198.1 Å³/cell
Magnetic moment: 0.00 μB per cell
N(E_F): 5.6 states/eV per cell
Formation energy: -758.4 meV per atom

Cell: 3.3162 3.3162 20.7972 Å, 90.00 90.00 120.00°
Sites, in units of the cell vectors:
Zr (0.0000, 0.0000, 0.2300)
Zr (0.0000, 0.0000, 0.7700)
Zr (0.3333, 0.6667, 0.4367)
Zr (0.3333, 0.6667, 0.8967)
Zr (0.6667, 0.3333, 0.1033)
Zr (0.6667, 0.3333, 0.5633)
Pt (0.0000, 0.0000, 0.0000)
Pt (0.3333, 0.6667, 0.6667)
Pt (0.6667, 0.3333, 0.3333)
C (0.0000, 0.0000, 0.5000)
C (0.3333, 0.6667, 0.1667)
C (0.6667, 0.3333, 0.8333)

Zr2PtC | PBE-GGA | optimized geometry

Properties
V: 269.4 Å³/cell
Magnetic moment: 0.00 μB per cell
N(E_F): 7.3 states/eV per cell
Formation energy: -844.2 meV per atom

Cell: 3.4643 22.1447 3.5110 Å, 90.00 90.00 90.00°
Sites, in units of the cell vectors:
Zr (0.0000, 0.0969, 0.2500)
Zr (0.0000, 0.2995, 0.2500)
Zr (0.0000, 0.7005, 0.7500)
Zr (0.0000, 0.9031, 0.7500)
Zr (0.5000, 0.2005, 0.7500)
Zr (0.5000, 0.4031, 0.7500)
Zr (0.5000, 0.5969, 0.2500)
Zr (0.5000, 0.7995, 0.2500)
Pt (0.0000, 0.4516, 0.2500)
Pt (0.0000, 0.5484, 0.7500)
Pt (0.5000, 0.0484, 0.7500)
Pt (0.5000, 0.9516, 0.2500)
C (0.0000, 0.1974, 0.2500)
C (0.0000, 0.8026, 0.7500)
C (0.5000, 0.3026, 0.7500)
C (0.5000, 0.6974, 0.2500)

Pu2C3 | PBE-GGA | optimized geometry

Properties
V: 270.5 Å³/cell
Magnetic moment: 37.07 μB per cell
N(E_F): 65.0 states/eV per cell
Formation energy: -14.6 meV per atom

Cell: 7.0570 7.0570 7.0570 Å, 109.47 109.47 109.47°
Sites, in units of the cell vectors:
Pu (0.0000, 0.4013, 0.5000)
Pu (0.0000, 0.9013, 0.5000)
Pu (0.0987, 0.0987, 0.0987)
Pu (0.4013, 0.5000, 0.0000)
Pu (0.5000, 0.0000, 0.4013)
Pu (0.5000, 0.0000, 0.9013)
Pu (0.5987, 0.5987, 0.5987)
Pu (0.9013, 0.5000, 0.0000)
C (0.0398, 0.7500, 0.7898)
C (0.2102, 0.7500, 0.9602)
C (0.2500, 0.5398, 0.2898)
C (0.2500, 0.7102, 0.4602)
C (0.2898, 0.2500, 0.5398)
C (0.4602, 0.2500, 0.7102)
C (0.5398, 0.2898, 0.2500)
C (0.7102, 0.4602, 0.2500)
C (0.7500, 0.7898, 0.0398)
C (0.7500, 0.9602, 0.2102)
C (0.7898, 0.0398, 0.7500)
C (0.9602, 0.2102, 0.7500)

Pu4C | PBE-GGA | optimized geometry

Properties
V: 118.5 Å³/cell
Magnetic moment: 22.19 μB per cell
N(E_F): 24.0 states/eV per cell
Formation energy: 289.0 meV per atom

Cell: 4.9121 4.9121 4.9121 Å, 90.00 90.00 90.00°
Sites, in units of the cell vectors:
Pu (0.0000, 0.0000, 0.0000)
Pu (0.0000, 0.5000, 0.5000)
Pu (0.5000, 0.0000, 0.5000)
Pu (0.5000, 0.5000, 0.0000)
C (0.5000, 0.5000, 0.5000)

PuC | PBE-GGA | optimized geometry

Properties
V: 124.7 Å³/cell
Magnetic moment: 16.50 μB per cell
N(E_F): 18.7 states/eV per cell
Energy relative to the lowest polymorph listed for this composition: 295 meV/atom
Formation energy: 301.5 meV per atom

Cell: 3.4055 6.0210 6.0802 Å, 90.00 90.00 90.00°
Sites, in units of the cell vectors:
Pu (0.0000, 0.0000, 0.2174)
Pu (0.0000, 0.0000, 0.7826)
Pu (0.5000, 0.5000, 0.2826)
Pu (0.5000, 0.5000, 0.7174)
C (0.0000, 0.2652, 0.5000)
C (0.0000, 0.7348, 0.5000)
C (0.5000, 0.2348, 0.0000)
C (0.5000, 0.7652, 0.0000)

Pu3C2 | PBE-GGA | optimized geometry

Properties
V: 184.1 Å³/cell
Magnetic moment: 30.29 μB per cell
N(E_F): 36.3 states/eV per cell
Energy relative to the lowest polymorph listed for this composition: 139 meV/atom
Formation energy: 97.9 meV per atom

Cell: 6.8466 6.8466 6.8466 Å, 51.96 51.96 51.96°
Sites, in units of the cell vectors:
Pu (0.0732, 0.7500, 0.4268)
Pu (0.2500, 0.5732, 0.9268)
Pu (0.4268, 0.0732, 0.7500)
Pu (0.5732, 0.9268, 0.2500)
Pu (0.7500, 0.4268, 0.0732)
Pu (0.9268, 0.2500, 0.5732)
C (0.1631, 0.1631, 0.1631)
C (0.3369, 0.3369, 0.3369)
C (0.6631, 0.6631, 0.6631)
C (0.8369, 0.8369, 0.8369)

PuC2 | PBE-GGA | optimized geometry

Properties
V: 90.0 Å³/cell
Magnetic moment: 9.88 μB per cell
N(E_F): 17.1 states/eV per cell
Formation energy: 166.7 meV per atom

Cell: 4.2509 4.2509 4.9809 Å, 90.00 90.00 90.00°
Sites, in units of the cell vectors:
Pu (0.0000, 0.0000, 0.0000)
Pu (0.5000, 0.5000, 0.5000)
C (0.1092, 0.1092, 0.5000)
C (0.3908, 0.6092, 0.0000)
C (0.6092, 0.3908, 0.0000)
C (0.8908, 0.8908, 0.5000)

PuC4 | PBE-GGA | optimized geometry

Properties
V: 67.3 Å³/cell
Magnetic moment: 1.58 μB per cell
N(E_F): 4.3 states/eV per cell
Formation energy: 3191.7 meV per atom

Cell: 4.0679 4.0679 4.0679 Å, 90.00 90.00 90.00°
Sites, in units of the cell vectors:
Pu (0.0000, 0.0000, 0.0000)
C (0.0000, 0.0000, 0.5000)
C (0.0000, 0.5000, 0.0000)
C (0.5000, 0.0000, 0.0000)
C (0.5000, 0.5000, 0.5000)

PuC | PBE-GGA | optimized geometry

Properties
V: 124.0 Å³/cell
Magnetic moment: 16.76 μB per cell
N(E_F): 23.4 states/eV per cell
Energy relative to the lowest polymorph listed for this composition: 113 meV/atom
Formation energy: 119.5 meV per atom

Cell: 4.9860 4.9860 4.9860 Å, 90.00 90.00 90.00°
Sites, in units of the cell vectors:
Pu (0.0000, 0.0000, 0.0000)
Pu (0.0000, 0.5000, 0.5000)
Pu (0.5000, 0.0000, 0.5000)
Pu (0.5000, 0.5000, 0.0000)
C (0.0000, 0.0000, 0.5000)
C (0.0000, 0.5000, 0.0000)
C (0.5000, 0.0000, 0.0000)
C (0.5000, 0.5000, 0.5000)

no.,total DFT energy (no corrections) (eV for the cell shown)
1,-104.447
2,-135.961
3,-207.039
4,-106.184
5,-142.951
6,-225.633
7,-65.107
8,-91.811
9,-121.908
10,-64.559
11,-35.269
12,-93.267